1.
! PbO2F4 | the Alexandria database | PBE | optimized geometry; values from VASP
! - Space-group type: P-1 (2)
! - Calculated volume: 14.95 Å³/atom
! - Energy relative to the elements, uncorrected: -0.574 eV per atom
! - Final energy: -3.589 eV per atom
&SYSTEM
  ibrav = 0, nat = 7, ntyp = 3
/
ATOMIC_SPECIES
Pb 207.20 Pb.upf
O 16.00 O.upf
F 19.00 F.upf
CELL_PARAMETERS angstrom
3.694 0.000 0.000
-0.021 3.795 0.000
-1.829 -0.531 7.465
ATOMIC_POSITIONS crystal
Pb 0.000 0.000 0.000
O 0.269 0.663 0.493
O 0.731 0.337 0.507
F 0.083 0.533 0.165
F 0.416 0.962 0.832
F 0.584 0.038 0.168
F 0.917 0.467 0.835

2.
! LiCaLu | the Alexandria database | PBE | optimized geometry; values from VASP
! - Space-group type: I4mm (107)
! - Calculated volume: 29.66 Å³/atom
! - Distance to the lowest polymorph of the same formula: 0.00 eV per formula unit
! - Final energy: -2.662 eV per atom
! - Formation energy: 151 meV/atom
&SYSTEM
  ibrav = 0, nat = 3, ntyp = 3
/
ATOMIC_SPECIES
Li 6.94 Li.upf
Ca 40.08 Ca.upf
Lu 174.97 Lu.upf
CELL_PARAMETERS angstrom
-1.849 1.849 6.504
1.849 -1.849 6.504
1.849 1.849 -6.504
ATOMIC_POSITIONS crystal
Li 0.000 0.000 0.000
Ca 0.342 0.342 0.000
Lu 0.639 0.639 0.000

3.
! HfSc3H | the Alexandria database | PBE | optimized geometry; values from VASP
! - Space-group type: Pm-3m (221)
! - Calculated volume: 29.16 Å³/atom
! - Distance to the lowest polymorph of the same formula: 7.19 eV per formula unit
! - Final energy: -5.134 eV per atom
&SYSTEM
  ibrav = 0, nat = 5, ntyp = 3
/
ATOMIC_SPECIES
Hf 178.49 Hf.upf
Sc 44.96 Sc.upf
H 1.01 H.upf
CELL_PARAMETERS angstrom
5.263 0.000 0.000
0.000 5.263 0.000
0.000 0.000 5.263
ATOMIC_POSITIONS crystal
Hf 0.000 0.000 0.000
Sc 0.000 0.000 0.500
Sc 0.000 0.500 0.000
Sc 0.500 0.000 0.000
H 0.500 0.500 0.500

4.
! CdIn2Au | the Alexandria database | PBE | optimized geometry; values from VASP
! - Space-group type: Pm (6)
! - Calculated volume: 23.59 Å³/atom
! - Final energy: -2.498 eV per atom
! - Formation energy: -80 meV/atom
&SYSTEM
  ibrav = 0, nat = 4, ntyp = 3
/
ATOMIC_SPECIES
Cd 112.41 Cd.upf
In 114.82 In.upf
Au 196.97 Au.upf
CELL_PARAMETERS angstrom
3.846 0.000 0.000
0.000 4.423 0.000
-1.888 0.000 5.546
ATOMIC_POSITIONS crystal
Cd 0.000 0.000 0.000
In 0.263 0.000 0.542
In 0.571 0.500 0.147
Au 0.817 0.500 0.663

5.
! MnAlS2 | the Alexandria database | PBE | optimized geometry; values from VASP
! - Space-group type: R-3m (166)
! - Calculated volume: 18.91 Å³/atom
! - Energy relative to the elements, uncorrected: -0.549 eV per atom
! - Final energy: -5.841 eV per atom
&SYSTEM
  ibrav = 0, nat = 4, ntyp = 3
/
ATOMIC_SPECIES
Mn 54.94 Mn.upf
Al 26.98 Al.upf
S 32.06 S.upf
CELL_PARAMETERS angstrom
1.740 1.005 7.209
-1.740 1.005 7.209
0.000 -2.010 7.209
ATOMIC_POSITIONS crystal
Mn 0.000 0.000 0.000
Al 0.500 0.500 0.500
S 0.106 0.106 0.106
S 0.894 0.894 0.894

6.
! Na2SnBi4 | the Alexandria database | PBE | optimized geometry; values from VASP
! - Space-group type: Fmmm (69)
! - Calculated volume: 35.49 Å³/atom
! - Final energy: -3.156 eV per atom
! - Formation energy: 10 meV/atom
&SYSTEM
  ibrav = 0, nat = 7, ntyp = 3
/
ATOMIC_SPECIES
Na 22.99 Na.upf
Sn 118.71 Sn.upf
Bi 208.98 Bi.upf
CELL_PARAMETERS angstrom
0.000 5.282 5.325
4.417 0.000 5.325
4.417 5.282 0.000
ATOMIC_POSITIONS crystal
Na 0.250 0.250 0.250
Na 0.750 0.750 0.750
Sn 0.000 0.000 0.000
Bi 0.289 0.289 0.711
Bi 0.290 0.710 0.290
Bi 0.710 0.290 0.710
Bi 0.711 0.711 0.289

7.
! MnPt2Se | the Alexandria database | PBE | optimized geometry; values from VASP
! - Space-group type: P4/mmm (123)
! - Calculated volume: 16.32 Å³/atom
! - Energy relative to the elements, uncorrected: 0.011 eV per atom
! - Final energy: -6.173 eV per atom
&SYSTEM
  ibrav = 0, nat = 4, ntyp = 3
/
ATOMIC_SPECIES
Mn 54.94 Mn.upf
Pt 195.08 Pt.upf
Se 78.96 Se.upf
CELL_PARAMETERS angstrom
4.038 0.000 0.000
0.000 4.038 0.000
0.000 0.000 4.002
ATOMIC_POSITIONS crystal
Mn 0.000 0.000 0.000
Pt 0.000 0.500 0.500
Pt 0.500 0.000 0.500
Se 0.500 0.500 0.000

8.
! Ho4In2H | the Alexandria database | PBE | optimized geometry; values from VASP
! - Space-group type: I4/mmm (139)
! - Calculated volume: 24.99 Å³/atom
! - Distance to the lowest polymorph of the same formula: 0.29 eV per formula unit
! - Final energy: -4.237 eV per atom
&SYSTEM
  ibrav = 0, nat = 7, ntyp = 3
/
ATOMIC_SPECIES
Ho 164.93 Ho.upf
In 114.82 In.upf
H 1.01 H.upf
CELL_PARAMETERS angstrom
-2.288 2.288 8.355
2.288 -2.288 8.355
2.288 2.288 -8.355
ATOMIC_POSITIONS crystal
Ho 0.000 0.500 0.500
Ho 0.176 0.176 0.000
Ho 0.500 0.000 0.500
Ho 0.824 0.824 0.000
In 0.365 0.365 0.000
In 0.635 0.635 0.000
H 0.000 0.000 0.000

9.
! PaSnPt2 | the Alexandria database | PBE | optimized geometry; values from VASP
! - Space-group type: Fm-3m (225)
! - Calculated volume: 20.47 Å³/atom
! - Final energy: -7.187 eV per atom
! - Formation energy: -791 meV/atom
&SYSTEM
  ibrav = 0, nat = 4, ntyp = 3
/
ATOMIC_SPECIES
Pa 231.04 Pa.upf
Sn 118.71 Sn.upf
Pt 195.08 Pt.upf
CELL_PARAMETERS angstrom
0.000 3.446 3.446
3.446 0.000 3.446
3.446 3.446 0.000
ATOMIC_POSITIONS crystal
Pa 0.000 0.000 0.000
Sn 0.500 0.500 0.500
Pt 0.250 0.250 0.250
Pt 0.750 0.750 0.750

10.
! Tb3Y2Th4 | the Alexandria database | PBE | optimized geometry; values from VASP
! - Space-group type: C2/m (12)
! - Calculated volume: 32.28 Å³/atom
! - Final energy: -6.241 eV per atom
! - Formation energy: 36 meV/atom
&SYSTEM
  ibrav = 0, nat = 9, ntyp = 3
/
ATOMIC_SPECIES
Tb 158.93 Tb.upf
Y 88.91 Y.upf
Th 232.04 Th.upf
CELL_PARAMETERS angstrom
7.555 -2.525 0.000
7.555 2.525 0.000
-2.582 0.000 7.614
ATOMIC_POSITIONS crystal
Tb 0.000 0.000 0.000
Tb 0.116 0.116 0.671
Tb 0.884 0.884 0.329
Y 0.441 0.441 0.668
Y 0.559 0.559 0.332
Th 0.224 0.224 0.333
Th 0.331 0.331 0.996
Th 0.669 0.669 0.004
Th 0.776 0.776 0.667

11.
! NaTcNi | the Alexandria database | PBE | optimized geometry; values from VASP
! - Space-group type: P6_3/mmc (194)
! - Calculated volume: 36.12 Å³/atom
! - Distance to the lowest polymorph of the same formula: 5.35 eV per formula unit
! - Final energy: -3.797 eV per atom
! - Formation energy: 2026 meV/atom
&SYSTEM
  ibrav = 0, nat = 6, ntyp = 3
/
ATOMIC_SPECIES
Na 22.99 Na.upf
Tc 98.00 Tc.upf
Ni 58.69 Ni.upf
CELL_PARAMETERS angstrom
5.306 0.000 0.000
-2.653 4.595 0.000
0.000 0.000 8.890
ATOMIC_POSITIONS crystal
Na 0.333 0.667 0.250
Na 0.667 0.333 0.750
Tc 0.000 0.000 0.250
Tc 0.000 0.000 0.750
Ni 0.000 0.000 0.000
Ni 0.000 0.000 0.500

12.
! RbSbI2Br | the Alexandria database | PBE | optimized geometry; values from VASP
! - Space-group type: P4/mmm (123)
! - Calculated volume: 50.40 Å³/atom
! - Energy relative to the elements, uncorrected: -0.138 eV per atom
! - Distance to the lowest polymorph of the same formula: 3.18 eV per formula unit
! - Final energy: -2.111 eV per atom
&SYSTEM
  ibrav = 0, nat = 5, ntyp = 4
/
ATOMIC_SPECIES
Rb 85.47 Rb.upf
Sb 121.76 Sb.upf
I 126.90 I.upf
Br 79.90 Br.upf
CELL_PARAMETERS angstrom
6.752 0.000 0.000
0.000 6.752 0.000
0.000 0.000 5.528
ATOMIC_POSITIONS crystal
Rb 0.000 0.000 0.000
Sb 0.500 0.500 0.000
I 0.000 0.500 0.500
I 0.500 0.000 0.500
Br 0.500 0.500 0.500

13.
! NbCd3Ir | the Alexandria database | PBE | optimized geometry; values from VASP
! - Space-group type: Pm-3m (221)
! - Calculated volume: 25.54 Å³/atom
! - Distance to the lowest polymorph of the same formula: 0.00 eV per formula unit
! - Final energy: -3.178 eV per atom
! - Formation energy: 1157 meV/atom
&SYSTEM
  ibrav = 0, nat = 5, ntyp = 3
/
ATOMIC_SPECIES
Nb 92.91 Nb.upf
Cd 112.41 Cd.upf
Ir 192.22 Ir.upf
CELL_PARAMETERS angstrom
5.036 0.000 0.000
0.000 5.036 0.000
0.000 0.000 5.036
ATOMIC_POSITIONS crystal
Nb 0.000 0.000 0.000
Cd 0.000 0.500 0.500
Cd 0.500 0.000 0.500
Cd 0.500 0.500 0.000
Ir 0.500 0.500 0.500

14.
! Hg2IrBr | the Alexandria database | PBE | optimized geometry; values from VASP
! - Space-group type: R3m (160)
! - Calculated volume: 24.78 Å³/atom
! - Energy relative to the elements, uncorrected: 0.485 eV per atom
! - Distance to the lowest polymorph of the same formula: 0.70 eV per formula unit
! - Final energy: -2.300 eV per atom
&SYSTEM
  ibrav = 0, nat = 4, ntyp = 3
/
ATOMIC_SPECIES
Hg 200.59 Hg.upf
Ir 192.22 Ir.upf
Br 79.90 Br.upf
CELL_PARAMETERS angstrom
1.902 1.098 7.912
-1.902 1.098 7.912
0.000 -2.196 7.912
ATOMIC_POSITIONS crystal
Hg 0.000 0.000 0.000
Hg 0.244 0.244 0.244
Ir 0.740 0.740 0.740
Br 0.458 0.458 0.458

15.
! PRh3Au | the Alexandria database | PBE | optimized geometry; values from VASP
! - Space-group type: Pm-3m (221)
! - Calculated volume: 22.79 Å³/atom
! - Distance to the lowest polymorph of the same formula: 9.19 eV per formula unit
! - Final energy: -4.247 eV per atom
! - Formation energy: 1901 meV/atom
&SYSTEM
  ibrav = 0, nat = 5, ntyp = 3
/
ATOMIC_SPECIES
P 30.97 P.upf
Rh 102.91 Rh.upf
Au 196.97 Au.upf
CELL_PARAMETERS angstrom
4.848 0.000 0.000
0.000 4.848 0.000
0.000 0.000 4.848
ATOMIC_POSITIONS crystal
P 0.000 0.000 0.000
Rh 0.000 0.500 0.500
Rh 0.500 0.000 0.500
Rh 0.500 0.500 0.000
Au 0.500 0.500 0.500

16.
! NdUN | the Alexandria database | PBE | optimized geometry; values from VASP
! - Space-group type: P3m1 (156)
! - Calculated volume: 21.64 Å³/atom
! - Energy relative to the elements, uncorrected: -0.562 eV per atom
! - Distance to the lowest polymorph of the same formula: 0.00 eV per formula unit
! - Final energy: -8.690 eV per atom
&SYSTEM
  ibrav = 0, nat = 3, ntyp = 3
/
ATOMIC_SPECIES
Nd 144.24 Nd.upf
U 238.03 U.upf
N 14.01 N.upf
CELL_PARAMETERS angstrom
3.428 0.000 0.000
-1.714 2.969 0.000
0.000 0.000 6.376
ATOMIC_POSITIONS crystal
Nd 0.000 0.000 0.000
U 0.333 0.667 0.455
N 0.667 0.333 0.255

17.
! K4Au2I | the Alexandria database | PBE | optimized geometry; values from VASP
! - Space-group type: Cmcm (63)
! - Calculated volume: 39.65 Å³/atom
! - Energy relative to the elements, uncorrected: -0.539 eV per atom
! - Distance to the lowest polymorph of the same formula: 0.00 eV per formula unit
! - Final energy: -2.324 eV per atom
&SYSTEM
  ibrav = 0, nat = 14, ntyp = 3
/
ATOMIC_SPECIES
K 39.10 K.upf
Au 196.97 Au.upf
I 126.90 I.upf
CELL_PARAMETERS angstrom
2.909 -5.042 0.000
2.909 5.042 0.000
0.000 0.000 18.922
ATOMIC_POSITIONS crystal
K 0.000 0.000 0.000
K 0.000 0.000 0.500
K 0.333 0.667 0.610
K 0.333 0.667 0.890
K 0.334 0.666 0.250
K 0.666 0.334 0.750
K 0.667 0.333 0.110
K 0.667 0.333 0.390
Au 0.334 0.666 0.067
Au 0.334 0.666 0.433
Au 0.666 0.334 0.567
Au 0.666 0.334 0.933
I 0.001 0.999 0.250
I 0.999 0.001 0.750

18.
! Re3Cl | the Alexandria database | PBE | optimized geometry; values from VASP
! - Space-group type: Imm2 (44)
! - Calculated volume: 15.21 Å³/atom
! - Energy relative to the elements, uncorrected: 0.721 eV per atom
! - Distance to the lowest polymorph of the same formula: 1.21 eV per formula unit
! - Final energy: -9.077 eV per atom
&SYSTEM
  ibrav = 0, nat = 4, ntyp = 2
/
ATOMIC_SPECIES
Re 186.21 Re.upf
Cl 35.45 Cl.upf
CELL_PARAMETERS angstrom
-1.450 4.766 2.200
1.450 -4.766 2.200
1.450 4.766 -2.200
ATOMIC_POSITIONS crystal
Re 0.000 0.000 0.000
Re 0.519 0.225 0.294
Re 0.931 0.225 0.706
Cl 0.421 0.921 0.500

19.
! YAsBr2 | the Alexandria database | PBE | optimized geometry; values from VASP
! - Space-group type: R3m (160)
! - Calculated volume: 29.32 Å³/atom
! - Energy relative to the elements, uncorrected: -0.630 eV per atom
! - Distance to the lowest polymorph of the same formula: 1.96 eV per formula unit
! - Final energy: -4.245 eV per atom
&SYSTEM
  ibrav = 0, nat = 4, ntyp = 3
/
ATOMIC_SPECIES
Y 88.91 Y.upf
As 74.92 As.upf
Br 79.90 Br.upf
CELL_PARAMETERS angstrom
1.913 1.105 9.249
-1.913 1.105 9.249
0.000 -2.209 9.249
ATOMIC_POSITIONS crystal
Y 0.000 0.000 0.000
As 0.737 0.737 0.737
Br 0.267 0.267 0.267
Br 0.480 0.480 0.480

20.
! SrPd2Cl | the Alexandria database | PBE | optimized geometry; values from VASP
! - Space-group type: I-42d (122)
! - Calculated volume: 22.87 Å³/atom
! - Energy relative to the elements, uncorrected: -0.634 eV per atom
! - Distance to the lowest polymorph of the same formula: 0.00 eV per formula unit
! - Final energy: -4.112 eV per atom
&SYSTEM
  ibrav = 0, nat = 8, ntyp = 3
/
ATOMIC_SPECIES
Sr 87.62 Sr.upf
Pd 106.42 Pd.upf
Cl 35.45 Cl.upf
CELL_PARAMETERS angstrom
-1.987 1.987 11.578
1.987 -1.987 11.578
1.987 1.987 -11.578
ATOMIC_POSITIONS crystal
Sr 0.000 0.000 0.000
Sr 0.750 0.250 0.500
Pd 0.115 0.625 0.990
Pd 0.375 0.365 0.490
Pd 0.635 0.125 0.010
Pd 0.875 0.885 0.510
Cl 0.250 0.750 0.500
Cl 0.500 0.500 0.000